This record from Alexandria describes a relaxed structure of Cr2NClF. The functional is PBE with a Hubbard U.

As for the uncorrected energy: -23.84 eV/cell. The theoretical density comes out at 3.2 g/cm3. Its calculated volume is 89.53 Å³ per cell. The crystal system is tetragonal.

The structure belongs to space group P4/mmm (No. 123); the cell edges are 4.7741, 4.7741 and 3.9283 Å and the angles 90.00°, 90.00° and 90.00°. The inequivalent atoms are Cr at (0.0000, 0.5000, 0.0000), N at (0.0000, 0.0000, 0.5000), Cl at (0.0000, 0.0000, 0.0000) and F at (0.5000, 0.5000, 0.5000).